P | Density functional theory data (PBE) for a geometry-optimized MnCrSn2 structure.

Output
space-group type	I-42d (122)

```
MnCrSn2
1.0
7.3667 0.0000 0.0000
0.0000 7.3667 0.0000
0.0000 0.0000 5.9902
Mn Cr Sn
4 4 8
direct
0.0000 0.0000 0.0000 Mn
0.0000 0.5000 0.2500 Mn
0.5000 0.0000 0.7500 Mn
0.5000 0.5000 0.5000 Mn
0.0000 0.0000 0.5000 Cr
0.0000 0.5000 0.7500 Cr
0.5000 0.0000 0.2500 Cr
0.5000 0.5000 0.0000 Cr
0.2442 0.2500 0.1250 Sn
0.2500 0.7442 0.3750 Sn
0.2500 0.7558 0.8750 Sn
0.2558 0.2500 0.6250 Sn
0.7442 0.7500 0.6250 Sn
0.7500 0.2442 0.8750 Sn
0.7500 0.2558 0.3750 Sn
0.7558 0.7500 0.1250 Sn
```

Q | Density functional theory data (PBE) for a geometry-optimized MnCrSn2 structure.

Output
space-group type	Fm-3m (225)

```
MnCrSn2
1.0
6.4944 0.0000 0.0000
0.0000 6.4944 0.0000
0.0000 0.0000 6.4944
Mn Cr Sn
4 4 8
direct
0.0000 0.0000 0.0000 Mn
0.0000 0.5000 0.5000 Mn
0.5000 0.0000 0.5000 Mn
0.5000 0.5000 0.0000 Mn
0.0000 0.0000 0.5000 Cr
0.0000 0.5000 0.0000 Cr
0.5000 0.0000 0.0000 Cr
0.5000 0.5000 0.5000 Cr
0.2500 0.2500 0.2500 Sn
0.2500 0.2500 0.7500 Sn
0.2500 0.7500 0.2500 Sn
0.2500 0.7500 0.7500 Sn
0.7500 0.2500 0.2500 Sn
0.7500 0.2500 0.7500 Sn
0.7500 0.7500 0.2500 Sn
0.7500 0.7500 0.7500 Sn
```

The most stable arrangement is Q, and the next structure is 180 meV/atom less stable.

P | Density functional theory data (PBE) for a geometry-optimized MnCrSn3 structure.

Output
space-group type	Pm-3m (221)

```
MnCrSn3
1.0
5.0341 0.0000 0.0000
0.0000 5.0341 0.0000
0.0000 0.0000 5.0341
Mn Cr Sn
1 1 3
direct
0.0000 0.0000 0.0000 Mn
0.5000 0.5000 0.5000 Cr
0.0000 0.5000 0.5000 Sn
0.5000 0.0000 0.5000 Sn
0.5000 0.5000 0.0000 Sn
```

Q | Density functional theory data (PBE) for a geometry-optimized MnCrSn3 structure.

Output
space-group type	Pm-3m (221)

```
MnCrSn3
1.0
4.9852 0.0000 0.0000
0.0000 4.9852 0.0000
0.0000 0.0000 4.9852
Mn Cr Sn
1 1 3
direct
0.0000 0.0000 0.0000 Mn
0.5000 0.5000 0.5000 Cr
0.0000 0.0000 0.5000 Sn
0.0000 0.5000 0.0000 Sn
0.5000 0.0000 0.0000 Sn
```

The most stable arrangement is Q, and the next structure is 79 meV/atom less stable.

P | Density functional theory data (PBE) for a geometry-optimized TaMnCr2 structure.

Output
space-group type	C2/m (12)

```
TaMnCr2
1.0
5.0635 0.0000 0.0000
0.0000 8.3702 0.0000
-0.9133 0.0000 2.4879
Ta Mn Cr
2 2 4
direct
0.0000 0.0000 0.0000 Ta
0.5000 0.5000 0.0000 Ta
0.0000 0.5000 0.0000 Mn
0.5000 0.0000 0.0000 Mn
0.2500 0.2500 0.5000 Cr
0.2500 0.7500 0.5000 Cr
0.7500 0.2500 0.5000 Cr
0.7500 0.7500 0.5000 Cr
```

Q | Density functional theory data (PBE) for a geometry-optimized TaMnCr2 structure.

Output
space-group type	Cmm2 (35)

```
TaMnCr2
1.0
3.0190 0.0000 0.0000
0.0000 4.3348 0.0000
0.0000 0.0000 8.1079
Ta Mn Cr
2 2 4
direct
0.0000 0.0000 0.0000 Ta
0.5000 0.5000 0.0000 Ta
0.0000 0.5000 0.2694 Mn
0.5000 0.0000 0.2694 Mn
0.0000 0.0000 0.4970 Cr
0.0000 0.5000 0.7261 Cr
0.5000 0.0000 0.7261 Cr
0.5000 0.5000 0.4970 Cr
```

The most stable arrangement is P, and the next structure is 23 meV/atom less stable.

P | Density functional theory data (PBE) for a geometry-optimized TaMnCr2 structure.

Output
space-group type	I-42d (122)

```
TaMnCr2
1.0
6.6532 0.0000 0.0000
0.0000 6.6532 0.0000
0.0000 0.0000 5.0425
Ta Mn Cr
4 4 8
direct
0.0000 0.0000 0.0000 Ta
0.0000 0.5000 0.2500 Ta
0.5000 0.0000 0.7500 Ta
0.5000 0.5000 0.5000 Ta
0.0000 0.0000 0.5000 Mn
0.0000 0.5000 0.7500 Mn
0.5000 0.0000 0.2500 Mn
0.5000 0.5000 0.0000 Mn
0.2097 0.2500 0.6250 Cr
0.2500 0.7097 0.8750 Cr
0.2500 0.7903 0.3750 Cr
0.2903 0.2500 0.1250 Cr
0.7097 0.7500 0.1250 Cr
0.7500 0.2097 0.3750 Cr
0.7500 0.2903 0.8750 Cr
0.7903 0.7500 0.6250 Cr
```

Q | Density functional theory data (PBE) for a geometry-optimized TaMnCr2 structure.

Output
space-group type	P4/mmm (123)

```
TaMnCr2
1.0
3.4941 0.0000 0.0000
0.0000 3.4941 0.0000
0.0000 0.0000 4.3885
Ta Mn Cr
1 1 2
direct
0.0000 0.0000 0.0000 Ta
0.5000 0.5000 0.0000 Mn
0.0000 0.5000 0.5000 Cr
0.5000 0.0000 0.5000 Cr
```

The most stable arrangement is Q, and the next structure is 388 meV/atom less stable.